# 1
Entry from the Alexandria database: crystalline CoTcAu at its relaxed geometry (GGA-PBE).

The calculation puts the formation energy from the elements at 0.582 eV/atom.

It has space group F-43m (No. 216), with a = 5.7625 Å, b = 5.7625 Å, c = 5.7625 Å, α = 90.00°, β = 90.00° and γ = 90.00°. The asymmetric unit holds Co at (0.0000, 0.0000, 0.0000), Tc at (0.2500, 0.2500, 0.2500) and Au at (0.2500, 0.2500, 0.7500).

# 2
Entry from the Alexandria database: crystalline Mn3VCl at its relaxed geometry (GGA-PBE).

The energy relative to the elements, uncorrected is 0.99 eV/atom.

It has space group Pm-3m (No. 221), with a = 4.6427 Å, b = 4.6427 Å, c = 4.6427 Å, α = 90.00°, β = 90.00° and γ = 90.00°. The asymmetric unit holds Mn at (0.0000, 0.0000, 0.5000), V at (0.0000, 0.0000, 0.0000) and Cl at (0.5000, 0.5000, 0.5000).

# 3
Entry from the Alexandria database: crystalline Pm4Pr2NdTh at its relaxed geometry (GGA-PBE).

The calculation puts the formation energy from the elements at 0.030 eV/atom.

It has space group P2/m (No. 10), with a = 6.3463 Å, b = 3.6630 Å, c = 12.1261 Å, α = 90.00°, β = 100.19° and γ = 90.00°. The asymmetric unit holds Pm at (0.2424, 0.0000, 0.2441), Pm at (0.2460, 0.5000, 0.7520), Pr at (0.5000, 0.0000, 0.0000), Pr at (0.5000, 0.5000, 0.5000), Nd at (0.0000, 0.0000, 0.5000) and Th at (0.0000, 0.5000, 0.0000).

# 4
Entry from the Alexandria database: crystalline La2GaCu at its relaxed geometry (GGA-PBE).

The calculation puts the formation energy from the elements at 0.213 eV/atom.

It has space group R-3m (No. 166, hexagonal axes), with a = 3.4902 Å, b = 3.4902 Å, c = 32.6820 Å, α = 90.00°, β = 90.00° and γ = 120.00°. The asymmetric unit holds La at (0.0000, 0.0000, 0.0986), Ga at (0.0000, 0.0000, 0.0000) and Cu at (0.0000, 0.0000, 0.5000).

# 5
Entry from the Alexandria database: crystalline BaVH3 at its relaxed geometry (GGA-PBE).

As for the total energy: -16.6 eV per cell.

It has space group Pm-3m (No. 221), with a = 4.8052 Å, b = 4.8052 Å, c = 4.8052 Å, α = 90.00°, β = 90.00° and γ = 90.00°. The asymmetric unit holds Ba at (0.0000, 0.0000, 0.0000), V at (0.5000, 0.5000, 0.5000) and H at (0.0000, 0.0000, 0.5000).

# 6
Entry from the Alexandria database: crystalline Th2NpPaSb4 at its relaxed geometry (GGA-PBE).

The energy relative to the elements, uncorrected is -0.62 eV/atom.

It has space group P2/m (No. 10), with a = 7.6799 Å, b = 4.4479 Å, c = 7.7287 Å, α = 90.00°, β = 109.47° and γ = 90.00°. The asymmetric unit holds Th at (0.0000, 0.0000, 0.0000), Th at (0.5000, 0.5000, 0.0000), Np at (0.0000, 0.5000, 0.5000), Pa at (0.5000, 0.0000, 0.5000), Sb at (0.2484, 0.0000, 0.7414) and Sb at (0.2542, 0.5000, 0.2591).

# 7
Entry from the Alexandria database: crystalline Y4Ge2I5 at its relaxed geometry (GGA-PBE).

The energy relative to the elements, uncorrected is -1.05 eV/atom.

It has space group C2/m (No. 12), with a = 23.3038 Å, b = 4.1869 Å, c = 8.4089 Å, α = 90.00°, β = 91.07° and γ = 90.00°. The asymmetric unit holds Y at (0.0194, 0.0000, 0.2978), Y at (0.1615, 0.5000, 0.4367), Ge at (0.0513, 0.5000, 0.5392), I at (0.0000, 0.5000, 0.0000), I at (0.1461, 0.0000, 0.1701) and I at (0.2067, 0.0000, 0.6826).

# 8
Entry from the Alexandria database: crystalline HgPPb2 at its relaxed geometry (GGA-PBE).

The calculation puts the formation energy from the elements at 0.242 eV/atom.

It has space group I-4m2 (No. 119), with a = 4.4234 Å, b = 4.4234 Å, c = 10.7363 Å, α = 90.00°, β = 90.00° and γ = 90.00°. The asymmetric unit holds Hg at (0.0000, 0.0000, 0.0000), P at (0.0000, 0.5000, 0.7500), Pb at (0.0000, 0.0000, 0.5000) and Pb at (0.0000, 0.5000, 0.2500).

# 9
Entry from the Alexandria database: crystalline Sm2Co3B2 at its relaxed geometry (GGA-PBE).

The calculation puts the formation energy from the elements at -0.184 eV/atom.

It has space group C2/m (No. 12), with a = 10.0914 Å, b = 3.3820 Å, c = 6.4384 Å, α = 90.00°, β = 116.35° and γ = 90.00°. The asymmetric unit holds Sm at (0.1288, 0.0000, 0.2694), Co at (0.0000, 0.5000, 0.5000), Co at (0.1529, 0.5000, 0.9232) and B at (0.1435, 0.0000, 0.7474).

# 10
Entry from the Alexandria database: crystalline Li6MgAl at its relaxed geometry (GGA-PBE).

The calculation puts the formation energy from the elements at 0.081 eV/atom.

It has space group C2/m (No. 12), with a = 8.0525 Å, b = 5.8554 Å, c = 7.2756 Å, α = 90.00°, β = 102.81° and γ = 90.00°. The asymmetric unit holds Li at (0.1160, 0.0000, 0.4028), Li at (0.2219, 0.2312, 0.8098), Mg at (0.0000, 0.5000, 0.5000) and Al at (0.0000, 0.0000, 0.0000).

# 11
Entry from the Alexandria database: crystalline CaNpS2 at its relaxed geometry (GGA-PBE).

The energy relative to the elements, uncorrected is -1.55 eV/atom.

It has space group R3m (No. 160, hexagonal axes), with a = 3.8812 Å, b = 3.8812 Å, c = 20.9413 Å, α = 90.00°, β = 90.00° and γ = 120.00°. The asymmetric unit holds Ca at (0.0000, 0.0000, 0.0000), Np at (0.0000, 0.0000, 0.8276), S at (0.0000, 0.0000, 0.2444) and S at (0.0000, 0.0000, 0.4151).

# 12
Entry from the Alexandria database: crystalline Ac2NdPaAs4 at its relaxed geometry (GGA-PBE).

The calculation puts the formation energy from the elements at -1.359 eV/atom.

It has space group P2/m (No. 10), with a = 7.4969 Å, b = 4.3391 Å, c = 7.5875 Å, α = 90.00°, β = 109.23° and γ = 90.00°. The asymmetric unit holds Ac at (0.0000, 0.0000, 0.0000), Ac at (0.5000, 0.5000, 0.0000), Nd at (0.0000, 0.5000, 0.5000), Pa at (0.5000, 0.0000, 0.5000), As at (0.2534, 0.0000, 0.7274) and As at (0.2676, 0.5000, 0.2776).